Computed, not measured: a relaxed structure of InCuTc2 at the PBE level of DFT.

Cell: 2.7399 4.4989 5.1976 Å, 90.00 102.55 90.00°
With the nearest neighbours (Å) after each atom.
Fractional coordinates of all 4 atoms:
In1 0.0000 0.0000 0.0000  2 Cu 2.66, 2 In 2.74, 4 Tc 2.81
Cu1 0.5000 0.0000 0.5000  2 In 2.66, 4 Tc 2.71, 2 Cu 2.74
Tc1 0.2592 0.5000 0.7336  4 Tc 2.53-2.80, 2 Cu 2.71, 2 In 2.81
Tc2 0.7408 0.5000 0.2664  4 Tc 2.53-2.80, 2 Cu 2.71, 2 In 2.81

Results
- Density of states at the Fermi level: 3.323 states/eV/cell
- DFT total energy: -25.97 eV/cell